# 1
A plane-wave DFT calculation with PBE-GGA was carried out for a relaxed IrI2N crystal.

Cell: 4.698 4.698 4.698 Å, 60.00 60.00 60.00°
Fractional coordinates of all 4 atoms:
Ir: 0.000 0.000 0.000
I: 0.250 0.250 0.250
I: 0.750 0.750 0.750
N: 0.500 0.500 0.500

Summary:
Its density of states at the Fermi level is 3.5 states/eV per cell. The electronic total energy comes out at -0.23568 Ry/atom. The calculation puts the energy relative to the elements, uncorrected at 1865 meV/atom.

=====

# 2
A plane-wave DFT calculation with PBE-GGA was carried out for a relaxed IrI3N crystal.

Cell: 4.916 4.916 4.916 Å, 90.00 90.00 90.00°
Fractional coordinates of all 5 atoms:
Ir: 0.000 0.000 0.000
I: 0.000 0.500 0.500
I: 0.500 0.000 0.500
I: 0.500 0.500 0.000
N: 0.500 0.500 0.500

Summary:
Its density of states at the Fermi level is 5.1 states/eV per cell. The electronic total energy comes out at -0.19007 Ry/atom. The calculation puts the energy relative to the elements, uncorrected at 1781 meV/atom.

=====

# 3
A plane-wave DFT calculation with PBE-GGA was carried out for a relaxed IrI3N crystal.

Cell: 5.483 5.483 5.483 Å, 90.00 90.00 90.00°
Fractional coordinates of all 5 atoms:
Ir: 0.000 0.000 0.000
I: 0.000 0.000 0.500
I: 0.000 0.500 0.000
I: 0.500 0.000 0.000
N: 0.500 0.500 0.500

Summary:
Its density of states at the Fermi level is 7.5 states/eV per cell. The electronic total energy comes out at -0.22125 Ry/atom. The calculation puts the energy relative to the elements, uncorrected at 1357 meV/atom.

=====

# 4
A plane-wave DFT calculation with PBE-GGA was carried out for a relaxed Ir3IN crystal.

Cell: 4.907 4.907 4.907 Å, 90.00 90.00 90.00°
Fractional coordinates of all 5 atoms:
Ir: 0.000 0.000 0.500
Ir: 0.000 0.500 0.000
Ir: 0.500 0.000 0.000
I: 0.000 0.000 0.000
N: 0.500 0.500 0.500

Summary:
Its density of states at the Fermi level is 8.8 states/eV per cell. The electronic total energy comes out at -0.30142 Ry/atom. The calculation puts the energy relative to the elements, uncorrected at 3191 meV/atom.

=====

# 5
A plane-wave DFT calculation with PBE-GGA was carried out for a relaxed Ir2IN2 crystal.

Cell: 8.875 8.875 8.875 Å, 156.10 156.10 34.05°
Fractional coordinates of all 5 atoms:
Ir: 0.250 0.750 0.500
Ir: 0.750 0.250 0.500
I: 0.000 0.000 0.000
N: 0.310 0.310 0.000
N: 0.690 0.690 0.000

Summary:
Its density of states at the Fermi level is 2.0 states/eV per cell. The electronic total energy comes out at -0.45525 Ry/atom. The calculation puts the energy relative to the elements, uncorrected at 991 meV/atom.

=====

# 6
A plane-wave DFT calculation with PBE-GGA was carried out for a relaxed Ir2IN2 crystal.

Cell: 7.581 7.581 2.793 Å, 90.00 90.00 90.00°
Fractional coordinates of all 10 atoms:
Ir: 0.118 0.382 0.000
Ir: 0.382 0.882 0.000
Ir: 0.618 0.118 0.000
Ir: 0.882 0.618 0.000
I: 0.000 0.000 0.500
I: 0.500 0.500 0.500
N: 0.104 0.604 0.500
N: 0.396 0.104 0.500
N: 0.604 0.896 0.500
N: 0.896 0.396 0.500

Summary:
Its density of states at the Fermi level is 8.7 states/eV per cell. The electronic total energy comes out at -0.39851 Ry/atom. The calculation puts the energy relative to the elements, uncorrected at 1763 meV/atom.

=====

# 7
A plane-wave DFT calculation with PBE-GGA was carried out for a relaxed Ir3IN crystal.

Cell: 4.255 4.255 4.255 Å, 90.00 90.00 90.00°
Fractional coordinates of all 5 atoms:
Ir: 0.000 0.000 0.500
Ir: 0.000 0.500 0.000
Ir: 0.500 0.000 0.000
I: 0.500 0.500 0.500
N: 0.000 0.000 0.000

Summary:
Its density of states at the Fermi level is 4.8 states/eV per cell. The electronic total energy comes out at -0.44229 Ry/atom. The calculation puts the energy relative to the elements, uncorrected at 1274 meV/atom.

=====

# 8
A plane-wave DFT calculation with PBE-GGA was carried out for a relaxed IrIN3 crystal.

Cell: 3.961 3.961 3.961 Å, 90.00 90.00 90.00°
Fractional coordinates of all 5 atoms:
Ir: 0.000 0.000 0.000
I: 0.500 0.500 0.500
N: 0.000 0.500 0.500
N: 0.500 0.000 0.500
N: 0.500 0.500 0.000

Summary:
Its density of states at the Fermi level is 5.6 states/eV per cell. The electronic total energy comes out at -0.30546 Ry/atom. The calculation puts the energy relative to the elements, uncorrected at 2921 meV/atom.